Record 1
This record from Alexandria describes a relaxed La3Zn3Pt2 crystal. The functional is PBE-GGA.

Output
Mass density (Mg/m³): 8.72
Space group: Cmcm, No. 63
Magnetic moment (μB/cell): 0.00
Total DFT energy (no corrections) (eV/f.u.): -36.70

Cell lengths 5.8386, 5.8386, 16.0214 Å; angles 90.00, 90.00, 135.62 degrees
Last column: nearest neighbours and their distance in Å.
Atoms (fractional coordinates):
La (0.1160, 0.8840, 0.7500)  5 Zn 3.14-3.23, 4 Pt 3.17
La (0.3813, 0.6187, 0.5932)  4 Pt 3.12-3.39, 7 Zn 3.18-3.40
La (0.3813, 0.6187, 0.9068)  4 Pt 3.12-3.39, 7 Zn 3.18-3.40
La (0.6187, 0.3813, 0.0932)  4 Pt 3.12-3.39, 7 Zn 3.18-3.40
La (0.6187, 0.3813, 0.4068)  4 Pt 3.12-3.39, 7 Zn 3.18-3.40
La (0.8840, 0.1160, 0.2500)  5 Zn 3.14-3.23, 4 Pt 3.17
Zn (0.0941, 0.9059, 0.5492)  1 Zn 2.57, 2 Pt 2.61
Zn (0.0941, 0.9059, 0.9508)  1 Zn 2.57, 2 Pt 2.61
Zn (0.1748, 0.8252, 0.2500)  2 Pt 2.68
Zn (0.8252, 0.1748, 0.7500)  2 Pt 2.68
Zn (0.9059, 0.0941, 0.0492)  1 Zn 2.57, 2 Pt 2.61
Zn (0.9059, 0.0941, 0.4508)  1 Zn 2.57, 2 Pt 2.61
Pt (0.3201, 0.6799, 0.1143)  3 Zn 2.61-2.68
Pt (0.3201, 0.6799, 0.3857)  3 Zn 2.61-2.68
Pt (0.6799, 0.3201, 0.6143)  3 Zn 2.61-2.68
Pt (0.6799, 0.3201, 0.8857)  3 Zn 2.61-2.68

=====

Record 2
This record from Alexandria describes a relaxed La2Zn3Pt2 crystal. The functional is PBE-GGA.

Output
Mass density (Mg/m³): 9.72
Space group: C2/m, No. 12
Magnetic moment (μB/cell): 0.00
Total DFT energy (no corrections) (eV/f.u.): -31.18

Cell lengths 10.2925, 4.2727, 7.3199 Å; angles 90.00, 113.45, 90.00 degrees
Last column: nearest neighbours and their distance in Å.
Atoms (fractional coordinates):
La (0.1424, 0.0000, 0.2624)  4 Pt 3.02-3.23, 3 Zn 3.18
La (0.3576, 0.5000, 0.7376)  4 Pt 3.02-3.23, 3 Zn 3.18
La (0.6424, 0.5000, 0.2624)  4 Pt 3.02-3.23, 3 Zn 3.18
La (0.8576, 0.0000, 0.7376)  4 Pt 3.02-3.23, 3 Zn 3.18
Zn (0.0000, 0.5000, 0.5000)  4 Pt 2.67, 2 Zn 2.92
Zn (0.1329, 0.5000, 0.9350)  3 Pt 2.75-2.76, 3 Zn 2.92-3.07
Zn (0.3671, 0.0000, 0.0650)  3 Pt 2.75-2.76, 3 Zn 2.92-3.07
Zn (0.5000, 0.0000, 0.5000)  4 Pt 2.67, 2 Zn 2.92
Zn (0.6329, 0.0000, 0.9350)  3 Pt 2.75-2.76, 3 Zn 2.92-3.07
Zn (0.8671, 0.5000, 0.0650)  3 Pt 2.75-2.76, 3 Zn 2.92-3.07
Pt (0.1396, 0.0000, 0.7019)  5 Zn 2.67-2.76
Pt (0.3604, 0.5000, 0.2981)  5 Zn 2.67-2.76
Pt (0.6396, 0.5000, 0.7019)  5 Zn 2.67-2.76
Pt (0.8604, 0.0000, 0.2981)  5 Zn 2.67-2.76

=====

Record 3
This record from Alexandria describes a relaxed La2Zn3Pt5 crystal. The functional is PBE-GGA.

Output
Mass density (Mg/m³): 12.23
Space group: Ibam, No. 72
Magnetic moment (μB/cell): 0.00
Total DFT energy (no corrections) (eV/f.u.): -52.11

Cell lengths 8.7968, 8.7968, 8.7968 Å; angles 105.00, 87.56, 141.61 degrees
Last column: nearest neighbours and their distance in Å.
Atoms (fractional coordinates):
La (0.1256, 0.2285, 0.3541)  7 Pt 3.07-3.41, 2 Zn 3.25
La (0.3744, 0.7285, 0.1028)  7 Pt 3.07-3.41, 2 Zn 3.25
La (0.6256, 0.2715, 0.8972)  7 Pt 3.07-3.41, 2 Zn 3.25
La (0.8744, 0.7715, 0.6459)  7 Pt 3.07-3.41, 2 Zn 3.25
Zn (0.1462, 0.9073, 0.0536)  5 Pt 2.52-2.55
Zn (0.2500, 0.7500, 0.5000)  6 Pt 2.64-2.72, 2 Zn 2.89
Zn (0.3538, 0.4073, 0.7611)  5 Pt 2.52-2.55
Zn (0.6462, 0.5927, 0.2389)  5 Pt 2.52-2.55
Zn (0.7500, 0.2500, 0.5000)  6 Pt 2.64-2.72, 2 Zn 2.89
Zn (0.8538, 0.0927, 0.9464)  5 Pt 2.52-2.55
Pt (0.0423, 0.7500, 0.2923)  3 Zn 2.55-2.64, 2 Pt 2.74
Pt (0.1024, 0.6779, 0.7803)  3 Zn 2.52-2.72, 2 Pt 2.74
Pt (0.2500, 0.2500, 0.0000)  4 Zn 2.55
Pt (0.3976, 0.1779, 0.5755)  3 Zn 2.52-2.72, 2 Pt 2.74
Pt (0.4577, 0.7500, 0.7077)  3 Zn 2.55-2.64, 2 Pt 2.74
Pt (0.5423, 0.2500, 0.2923)  3 Zn 2.55-2.64, 2 Pt 2.74
Pt (0.6024, 0.8221, 0.4245)  3 Zn 2.52-2.72, 2 Pt 2.74
Pt (0.7500, 0.7500, 0.0000)  4 Zn 2.55
Pt (0.8976, 0.3221, 0.2197)  3 Zn 2.52-2.72, 2 Pt 2.74
Pt (0.9577, 0.2500, 0.7077)  3 Zn 2.55-2.64, 2 Pt 2.74